meta-GGA SCAN SrBe2NbC, single point on PBEsol structure; energy = -13.96 eV per atom; size of the total moment = 1.6 μB per cell; formation energy from the elements = 884 meV per atom
1.0
4.069 0.000 0.000
0.000 4.069 0.000
0.000 0.000 4.396
Sr Be Nb C
1 2 1 1
direct
0.000 0.000 0.000
0.000 0.500 0.500
0.500 0.000 0.500
0.500 0.500 0.000
0.500 0.500 0.500

***

meta-GGA SCAN BeNiPb2C, single point on PBEsol structure; energy = -35.49 eV per atom; size of the total moment = 0.0 μB per cell; formation energy from the elements = 945 meV per atom
1.0
5.254 0.000 0.000
0.000 5.254 0.000
0.000 0.000 3.451
Be Ni Pb C
1 1 2 1
direct
0.000 0.000 0.000
0.500 0.500 0.500
0.000 0.500 0.500
0.500 0.000 0.500
0.500 0.500 0.000

***

meta-GGA SCAN BeP2CO, single point on PBEsol structure; energy = -7.18 eV per atom; size of the total moment = 0.0 μB per cell; formation energy (no corrections) = 1.12 eV per atom
1.0
4.404 0.000 0.000
0.000 4.404 0.000
0.000 0.000 2.917
Be P C O
1 2 1 1
direct
0.000 0.000 0.000
0.000 0.500 0.000
0.500 0.000 0.000
0.500 0.500 0.500
0.000 0.000 0.500

***

meta-GGA SCAN BeP2C, single point on PBEsol structure; energy = -7.14 eV per atom; size of the total moment = 0.0 μB per cell; formation energy from the elements = 1676 meV per atom
1.0
0.000 2.761 2.761
2.761 0.000 2.761
2.761 2.761 0.000
Be P C
1 2 1
direct
0.000 0.000 0.000
0.250 0.250 0.250
0.750 0.750 0.750
0.500 0.500 0.500